A relaxed structure of AlV2ReN. Source: the Alexandria database, functional PBE.

Properties
- uncorrected formation energy (meV/atom) = -327
- total DFT energy (no corrections) (eV for the cell shown) = -44.4
- symmetry = No. 123

abc: 3.9698 3.9698 3.8837
angles: 90.00 90.00 90.00
Closest atoms and distances in Å follow each position.
Positions (direct):
Al 0.0000 0.0000 0.0000  2 N 1.94
V 0.0000 0.5000 0.5000  2 N 1.98
V 0.5000 0.0000 0.5000  2 N 1.98
Re 0.5000 0.5000 0.0000  8 V 2.78, 4 Al 2.81
N 0.0000 0.0000 0.5000  2 Al 1.94, 4 V 1.98

A relaxed structure of AlV2ReN. Source: the Alexandria database, functional PBE.

Properties
- uncorrected formation energy (meV/atom) = -422
- total DFT energy (no corrections) (eV for the cell shown) = -44.9
- symmetry = No. 123

abc: 3.9446 3.9446 4.0503
angles: 90.00 90.00 90.00
Closest atoms and distances in Å follow each position.
Positions (direct):
Al 0.0000 0.0000 0.0000  4 Re 2.79, 8 V 2.83
V 0.0000 0.5000 0.5000  2 N 1.97
V 0.5000 0.0000 0.5000  2 N 1.97
Re 0.5000 0.5000 0.0000  2 N 2.03
N 0.5000 0.5000 0.5000  4 V 1.97, 2 Re 2.03

A relaxed structure of Al2RhN2. Source: the Alexandria database, functional PBE.

Properties
- uncorrected formation energy (meV/atom) = 455
- total DFT energy (no corrections) (eV for the cell shown) = -58.4
- symmetry = No. 127

abc: 6.2267 6.2267 2.7668
angles: 90.00 90.00 90.00
Closest atoms and distances in Å follow each position.
Positions (direct):
Al 0.1512 0.3488 0.0000  6 N 2.18-2.36, 2 Rh 2.37
Al 0.3488 0.8488 0.0000  6 N 2.18-2.36, 2 Rh 2.37
Al 0.6512 0.1512 0.0000  6 N 2.18-2.36, 2 Rh 2.37
Al 0.8488 0.6512 0.0000  6 N 2.18-2.36, 2 Rh 2.37
Rh 0.0000 0.0000 0.0000  4 Al 2.37
Rh 0.5000 0.5000 0.0000  4 Al 2.37
N 0.1568 0.6568 0.5000  6 Al 2.18-2.36
N 0.3432 0.1568 0.5000  6 Al 2.18-2.36
N 0.6568 0.8432 0.5000  6 Al 2.18-2.36
N 0.8432 0.3432 0.5000  6 Al 2.18-2.36

A relaxed structure of Al2RhN2. Source: the Alexandria database, functional PBE.

Properties
- uncorrected formation energy (meV/atom) = 93
- total DFT energy (no corrections) (eV for the cell shown) = -31.0
- symmetry = No. 139

abc: 6.3511 6.3511 6.3511
angles: 152.27 152.27 39.62
Closest atoms and distances in Å follow each position.
Positions (direct):
Al 0.1383 0.1383 0.0000  4 N 2.02
Al 0.8617 0.8617 0.0000  4 N 2.02
Rh 0.5000 0.5000 0.0000  8 Al 2.71
N 0.2500 0.7500 0.5000  4 Al 2.02, 4 N 2.15
N 0.7500 0.2500 0.5000  4 Al 2.02, 4 N 2.15

A relaxed structure of Al2RhN. Source: the Alexandria database, functional PBE.

Properties
- uncorrected formation energy (meV/atom) = -520
- total DFT energy (no corrections) (eV for the cell shown) = -50.5
- symmetry = No. 122

abc: 5.3543 5.3543 5.3543
angles: 118.13 118.13 93.27
Closest atoms and distances in Å follow each position.
Positions (direct):
Al 0.0410 0.6250 0.9160  2 N 1.89
Al 0.3750 0.2910 0.4160  2 N 1.89
Al 0.7090 0.1250 0.0840  2 N 1.89
Al 0.8750 0.9590 0.5840  2 N 1.89
Rh 0.2500 0.7500 0.5000  4 Al 2.47
Rh 0.5000 0.5000 0.0000  4 Al 2.47
N 0.0000 0.0000 0.0000  4 Al 1.89
N 0.7500 0.2500 0.5000  4 Al 1.89

A relaxed structure of AlRhSN2. Source: the Alexandria database, functional PBE.

Properties
- uncorrected formation energy (meV/atom) = 859
- total DFT energy (no corrections) (eV for the cell shown) = -27.6
- symmetry = No. 123

abc: 3.6591 3.6591 4.8989
angles: 90.00 90.00 90.00
Closest atoms and distances in Å follow each position.
Positions (direct):
Al 0.0000 0.0000 0.0000  4 N 1.83
Rh 0.5000 0.5000 0.5000  4 S 2.59
S 0.0000 0.0000 0.5000  2 Al 2.45, 4 Rh 2.59
N 0.0000 0.5000 0.0000  2 Al 1.83
N 0.5000 0.0000 0.0000  2 Al 1.83

A relaxed structure of AlRhSN2. Source: the Alexandria database, functional PBE.

Properties
- uncorrected formation energy (meV/atom) = 899
- total DFT energy (no corrections) (eV for the cell shown) = -27.4
- symmetry = No. 123

abc: 3.7801 3.7801 5.2200
angles: 90.00 90.00 90.00
Closest atoms and distances in Å follow each position.
Positions (direct):
Al 0.0000 0.0000 0.0000  4 S 2.67
Rh 0.5000 0.5000 0.5000  4 N 1.89
S 0.5000 0.5000 0.0000  2 Rh 2.61, 4 Al 2.67
N 0.0000 0.5000 0.5000  2 Rh 1.89
N 0.5000 0.0000 0.5000  2 Rh 1.89

A relaxed structure of AlSi2RhN. Source: the Alexandria database, functional PBE.

Properties
- uncorrected formation energy (meV/atom) = 698
- total DFT energy (no corrections) (eV for the cell shown) = -26.8
- symmetry = No. 123

abc: 4.9294 4.9294 3.6102
angles: 90.00 90.00 90.00
Closest atoms and distances in Å follow each position.
Positions (direct):
Al 0.0000 0.0000 0.0000  8 Si 3.06
Si 0.0000 0.5000 0.5000  2 Rh 2.46
Si 0.5000 0.0000 0.5000  2 Rh 2.46
Rh 0.5000 0.5000 0.5000  2 N 1.81
N 0.5000 0.5000 0.0000  2 Rh 1.81

A relaxed structure of AlSn2RhN. Source: the Alexandria database, functional PBE.

Properties
- uncorrected formation energy (meV/atom) = 1459
- total DFT energy (no corrections) (eV for the cell shown) = -20.1
- symmetry = No. 123

abc: 5.2424 5.2424 4.4723
angles: 90.00 90.00 90.00
Closest atoms and distances in Å follow each position.
Positions (direct):
Al 0.0000 0.0000 0.0000  2 Rh 2.24
Sn 0.0000 0.5000 0.0000  2 Al 2.62
Sn 0.5000 0.0000 0.0000  2 Al 2.62
Rh 0.0000 0.0000 0.5000  2 Al 2.24
N 0.5000 0.5000 0.5000  8 Sn 3.45, 4 Rh 3.71

A relaxed structure of AlTeRhN2. Source: the Alexandria database, functional PBE.

Properties
- uncorrected formation energy (meV/atom) = 893
- total DFT energy (no corrections) (eV for the cell shown) = -26.4
- symmetry = No. 123

abc: 3.6971 3.6971 6.4701
angles: 90.00 90.00 90.00
Closest atoms and distances in Å follow each position.
Positions (direct):
Al 0.0000 0.0000 0.0000  4 N 1.85
Te 0.0000 0.0000 0.5000  4 Rh 2.61
Rh 0.5000 0.5000 0.5000  4 Te 2.61
N 0.0000 0.5000 0.0000  2 Al 1.85
N 0.5000 0.0000 0.0000  2 Al 1.85

A relaxed structure of AlTeRhN2. Source: the Alexandria database, functional PBE.

Properties
- uncorrected formation energy (meV/atom) = 1008
- total DFT energy (no corrections) (eV for the cell shown) = -25.8
- symmetry = No. 123

abc: 3.8948 3.8948 5.6870
angles: 90.00 90.00 90.00
Closest atoms and distances in Å follow each position.
Positions (direct):
Al 0.0000 0.0000 0.0000  4 Te 2.75
Te 0.5000 0.5000 0.0000  4 Al 2.75, 2 Rh 2.84
Rh 0.5000 0.5000 0.5000  4 N 1.95
N 0.0000 0.5000 0.5000  2 Rh 1.95
N 0.5000 0.0000 0.5000  2 Rh 1.95

A relaxed structure of AlRhW2N. Source: the Alexandria database, functional PBE.

Properties
- uncorrected formation energy (meV/atom) = 2409
- total DFT energy (no corrections) (eV for the cell shown) = -33.3
- symmetry = No. 123

abc: 4.7403 4.7403 4.5210
angles: 90.00 90.00 90.00
Closest atoms and distances in Å follow each position.
Positions (direct):
Al 0.0000 0.0000 0.0000  2 Rh 2.26
Rh 0.0000 0.0000 0.5000  2 Al 2.26, 4 W 2.37
W 0.0000 0.5000 0.5000  2 Rh 2.37
W 0.5000 0.0000 0.5000  2 Rh 2.37
N 0.5000 0.5000 0.0000  8 W 3.28, 4 Al 3.35

A relaxed structure of AlRuN3. Source: the Alexandria database, functional PBE.

Properties
- uncorrected formation energy (meV/atom) = 1216
- total DFT energy (no corrections) (eV for the cell shown) = -31.9
- symmetry = No. 221

abc: 3.6703 3.6703 3.6703
angles: 90.00 90.00 90.00
Closest atoms and distances in Å follow each position.
Positions (direct):
Al 0.0000 0.0000 0.0000  6 N 1.84
Ru 0.5000 0.5000 0.5000  12 N 2.60
N 0.0000 0.0000 0.5000  2 Al 1.84
N 0.0000 0.5000 0.0000  2 Al 1.84
N 0.5000 0.0000 0.0000  2 Al 1.84

A relaxed structure of Al2RuN. Source: the Alexandria database, functional PBE.

Properties
- uncorrected formation energy (meV/atom) = -234
- total DFT energy (no corrections) (eV for the cell shown) = -52.0
- symmetry = No. 122

abc: 5.0735 5.0735 5.0735
angles: 105.54 105.54 117.65
Closest atoms and distances in Å follow each position.
Positions (direct):
Al 0.0390 0.6250 0.9140  2 N 1.95
Al 0.3750 0.2890 0.4140  2 N 1.95
Al 0.7110 0.1250 0.0860  2 N 1.95
Al 0.8750 0.9610 0.5860  2 N 1.95
Ru 0.2500 0.7500 0.5000  2 N 2.63, 8 Al 2.65-2.69
Ru 0.5000 0.5000 0.0000  2 N 2.63, 8 Al 2.65-2.69
N 0.0000 0.0000 0.0000  4 Al 1.95
N 0.7500 0.2500 0.5000  4 Al 1.95